Entry 1:
Here is a relaxed GaReI2N crystal from Alexandria. Energies are from PBEsol.

Values from the calculation:
As for the magnetization: 0.0 μB/f.u. For the total energy, the calculation gives -5.44 eV/atom. As for the space-group type: No. 123. Its raw formation energy is 0.31 eV per atom. As for the mass density: 7.5 Mg/m³.

Cell: 3.7747 5.5496 5.5496 Å, 90.00 90.00 90.00°
Closest atoms and distances in Å follow each position.
Sites, in units of the cell vectors:
1 I 0.0000 0.0000 0.5000  2 Re 2.77
2 I 0.0000 0.5000 0.0000  2 Re 2.77
3 Re 0.0000 0.0000 0.0000  2 N 1.89
4 Ga 0.5000 0.5000 0.5000  8 I 3.36
5 N 0.5000 0.0000 0.0000  2 Re 1.89

---

Entry 2:
Here is a relaxed ReBi2OsF crystal from Alexandria. Energies are from PBEsol.

Values from the calculation:
As for the magnetization: 2.0 μB/f.u. For the total energy, the calculation gives -6.02 eV/atom. As for the space-group type: No. 123. Its raw formation energy is 1.19 eV per atom. As for the mass density: 10.2 Mg/m³.

Cell: 4.7681 5.2717 5.2717 Å, 90.00 90.00 90.00°
Closest atoms and distances in Å follow each position.
Sites, in units of the cell vectors:
1 Re 0.5000 0.0000 0.0000  2 Os 2.38
2 Os 0.0000 0.0000 0.0000  2 Re 2.38, 4 Bi 2.64
3 Bi 0.0000 0.0000 0.5000  2 Os 2.64
4 Bi 0.0000 0.5000 0.0000  2 Os 2.64
5 F 0.5000 0.5000 0.5000  8 Bi 3.55, 4 Re 3.73

---

Entry 3:
Here is a relaxed BaSi2Ni crystal from Alexandria. Energies are from PBEsol.

Values from the calculation:
As for the magnetization: 0.0 μB/f.u. For the total energy, the calculation gives -5.50 eV/atom. As for the space-group type: No. 166. Its raw formation energy is -0.55 eV per atom. As for the mass density: 5.2 Mg/m³.

Cell: 3.9308 3.9308 6.4313 Å, 72.21 72.21 60.00°
Closest atoms and distances in Å follow each position.
Sites, in units of the cell vectors:
1 Ni 0.5000 0.5000 0.5000  6 Si 2.35
2 Si 0.7985 0.7985 0.6044  3 Ni 2.35, 3 Si 2.59
3 Si 0.2015 0.2015 0.3956  3 Ni 2.35, 3 Si 2.59
4 Ba 0.0000 0.0000 0.0000  8 Si 3.29-3.64

---

Entry 4:
Here is a relaxed Ir3Se crystal from Alexandria. Energies are from PBEsol.

Values from the calculation:
As for the magnetization: 0.0 μB/f.u. For the total energy, the calculation gives -7.77 eV/atom. As for the space-group type: No. 139. Its raw formation energy is 0.56 eV per atom. The value obtained for the energy above the lowest structure with this stoichiometry is 248 meV per atom. As for the mass density: 18.4 Mg/m³.

Cell: 3.9786 3.9786 4.6770 Å, 115.17 115.17 90.00°
Closest atoms and distances in Å follow each position.
Sites, in units of the cell vectors:
1 Ir 0.7500 0.2500 0.5000  4 Se 2.73, 8 Ir 2.73-2.81
2 Ir 0.5000 0.5000 0.0000  8 Ir 2.73, 4 Se 2.81
3 Ir 0.2500 0.7500 0.5000  8 Ir 2.73-2.81, 4 Se 2.73
4 Se 0.0000 0.0000 0.0000  12 Ir 2.73-2.81

---

Entry 5:
Here is a relaxed CrCdFe3 crystal from Alexandria. Energies are from PBEsol.

Values from the calculation:
As for the magnetization: 4.0 μB/f.u. For the total energy, the calculation gives -6.60 eV/atom. As for the space-group type: No. 221. The value obtained for the energy above the lowest structure with this stoichiometry is 0 meV per atom. The calculation puts the energy relative to the elements at 1068 meV per atom. As for the mass density: 7.5 Mg/m³.

Cell: 4.1862 4.1862 4.1862 Å, 90.00 90.00 90.00°
Closest atoms and distances in Å follow each position.
Sites, in units of the cell vectors:
1 Cr 0.0000 0.0000 0.0000  6 Fe 2.09
2 Fe 0.0000 0.5000 0.0000  2 Cr 2.09
3 Fe 0.0000 0.0000 0.5000  2 Cr 2.09
4 Fe 0.5000 0.0000 0.0000  2 Cr 2.09
5 Cd 0.5000 0.5000 0.5000  12 Fe 2.96

---

Entry 6:
Here is a relaxed NaAl3P2H4O12 crystal from Alexandria. Energies are from PBEsol.

Values from the calculation:
As for the magnetization: 0.0 μB/f.u. For the total energy, the calculation gives -6.88 eV/atom. As for the space-group type: No. 14. As for the mass density: 3.0 Mg/m³.

Cell: 7.0975 10.1208 11.2181 Å, 90.00 97.85 90.00°
Closest atoms and distances in Å follow each position.
Sites, in units of the cell vectors:
1 Na 0.5418 0.5770 0.8069  7 O 2.44-2.68
2 Na 0.0418 0.9230 0.3069  7 O 2.44-2.68
3 Na 0.4582 0.4230 0.1931  7 O 2.44-2.68
4 Na 0.9582 0.0770 0.6931  7 O 2.44-2.68
5 Al 0.0618 0.7160 0.5433  5 O 1.81-1.96
6 Al 0.5618 0.7840 0.0433  5 O 1.81-1.96
7 Al 0.9382 0.2840 0.4567  5 O 1.81-1.96
8 Al 0.4382 0.2160 0.9567  5 O 1.81-1.96
9 Al 0.0100 0.5714 0.7658  5 O 1.80-2.00
10 Al 0.5100 0.9286 0.2658  5 O 1.80-2.00
11 Al 0.9900 0.4286 0.2342  5 O 1.80-2.00
12 Al 0.4900 0.0714 0.7342  5 O 1.80-2.00
13 Al 0.9304 0.7592 0.9582  6 O 1.86-2.00
14 Al 0.4304 0.7408 0.4582  6 O 1.86-2.00
15 Al 0.0696 0.2408 0.0418  6 O 1.86-2.00
16 Al 0.5696 0.2592 0.5418  6 O 1.86-2.00
17 P 0.7325 0.8109 0.6781  4 O 1.53-1.57
18 P 0.2325 0.6891 0.1781  4 O 1.53-1.57
19 P 0.2675 0.1891 0.3219  4 O 1.53-1.57
20 P 0.7675 0.3109 0.8219  4 O 1.53-1.57
21 P 0.2507 0.8334 0.8085  4 O 1.53-1.57
22 P 0.7507 0.6666 0.3085  4 O 1.53-1.57
23 P 0.7493 0.1666 0.1915  4 O 1.53-1.57
24 P 0.2493 0.3334 0.6915  4 O 1.53-1.57
25 H 0.8602 0.5055 0.5686  1 O 1.01
26 H 0.3602 0.9945 0.0686  1 O 1.01
27 H 0.1398 0.4945 0.4314  1 O 1.01
28 H 0.6398 0.0055 0.9314  1 O 1.01
29 H 0.1993 0.6077 0.9699  1 O 0.99
30 H 0.6993 0.8923 0.4699  1 O 0.99
31 H 0.8007 0.3923 0.0301  1 O 0.99
32 H 0.3007 0.1077 0.5301  1 O 0.99
33 H 0.2650 0.9020 0.5725  1 O 0.99
34 H 0.7650 0.5980 0.0725  1 O 0.99
35 H 0.7350 0.0980 0.4275  1 O 0.99
36 H 0.2350 0.4020 0.9275  1 O 0.99
37 H 0.3298 0.5358 0.5484  1 O 1.00
38 H 0.8298 0.9642 0.0484  1 O 1.00
39 H 0.6702 0.4642 0.4516  1 O 1.00
40 H 0.1702 0.0358 0.9516  1 O 1.00
41 O 0.9481 0.5772 0.6052  1 H 1.01
42 O 0.4481 0.9228 0.1052  1 H 1.01
43 O 0.0519 0.4228 0.3948  1 H 1.01
44 O 0.5519 0.0772 0.8948  1 H 1.01
45 O 0.0704 0.6123 0.9239  1 H 0.99
46 O 0.5704 0.8877 0.4239  1 H 0.99
47 O 0.9296 0.3877 0.0761  1 H 0.99
48 O 0.4296 0.1123 0.5761  1 H 0.99
49 O 0.2239 0.8464 0.5012  1 H 0.99
50 O 0.7239 0.6536 0.0012  1 H 0.99
51 O 0.7761 0.1536 0.4988  1 H 0.99
52 O 0.2761 0.3464 0.9988  1 H 0.99
53 O 0.7675 0.8929 0.9959  1 H 1.00
54 O 0.2675 0.6071 0.4959  1 H 1.00
55 O 0.2325 0.1071 0.0041  1 H 1.00
56 O 0.7325 0.3929 0.5041  1 H 1.00
57 O 0.5630 0.7316 0.6151  1 P 1.54
58 O 0.0630 0.7684 0.1151  1 P 1.54
59 O 0.4370 0.2684 0.3849  1 P 1.54
60 O 0.9370 0.2316 0.8849  1 P 1.54
61 O 0.8197 0.7233 0.7877  1 P 1.57
62 O 0.3197 0.7767 0.2877  1 P 1.57
63 O 0.1803 0.2767 0.2123  1 P 1.57
64 O 0.6803 0.2233 0.7123  1 P 1.57
65 O 0.1769 0.7181 0.7214  1 P 1.57
66 O 0.6769 0.7819 0.2214  1 P 1.57
67 O 0.8231 0.2819 0.2786  1 P 1.57
68 O 0.3231 0.2181 0.7786  1 P 1.57
69 O 0.4327 0.7848 0.8854  1 P 1.53
70 O 0.9327 0.7152 0.3854  1 P 1.53
71 O 0.5673 0.2152 0.1146  1 P 1.53
72 O 0.0673 0.2848 0.6146  1 P 1.53
73 O 0.8830 0.8393 0.5925  1 P 1.56
74 O 0.3830 0.6607 0.0925  1 P 1.56
75 O 0.1170 0.1607 0.4075  1 P 1.56
76 O 0.6170 0.3393 0.9075  1 P 1.56
77 O 0.0992 0.8778 0.8878  1 P 1.55
78 O 0.5992 0.6222 0.3878  1 P 1.55
79 O 0.9008 0.1222 0.1122  1 P 1.55
80 O 0.4008 0.3778 0.6122  1 P 1.55
81 O 0.6776 0.9471 0.7216  1 P 1.53
82 O 0.1776 0.5529 0.2216  1 P 1.53
83 O 0.3224 0.0529 0.2784  1 P 1.53
84 O 0.8224 0.4471 0.7784  1 P 1.53
85 O 0.2861 0.9525 0.7277  1 P 1.55
86 O 0.7861 0.5475 0.2277  1 P 1.55
87 O 0.7139 0.0475 0.2723  1 P 1.55
88 O 0.2139 0.4525 0.7723  1 P 1.55